A) Here is crystalline CoBCl3 at its relaxed geometry from the Alexandria database. Energies are from GGA-PBE.

```
CoBCl3
1.0
4.6539 0.0000 0.0000
0.0000 4.6539 0.0000
0.0000 0.0000 4.6539
Co B Cl
1 1 3
direct
0.0000 0.0000 0.0000
0.5000 0.5000 0.5000
0.0000 0.0000 0.5000
0.0000 0.5000 0.0000
0.5000 0.0000 0.0000
```

Calculated values
SG = No. 221

---

B) Here is crystalline CoBCl3 at its relaxed geometry from the Alexandria database. Energies are from GGA-PBE.

```
CoBCl3
1.0
4.3861 0.0000 0.0000
0.0000 4.3861 0.0000
0.0000 0.0000 4.3861
Co B Cl
1 1 3
direct
0.0000 0.0000 0.0000
0.5000 0.5000 0.5000
0.0000 0.5000 0.5000
0.5000 0.0000 0.5000
0.5000 0.5000 0.0000
```

Calculated values
SG = No. 221

---

Most stable structure, least stable structure: A), B).

---

A) Here is crystalline CoB2Cl at its relaxed geometry from the Alexandria database. Energies are from GGA-PBE.

```
CoB2Cl
1.0
-2.4226 2.4226 4.6298
2.4226 -2.4226 4.6298
2.4226 2.4226 -4.6298
Co B Cl
2 4 2
direct
0.0000 0.0000 0.0000
0.7500 0.2500 0.5000
0.0524 0.6250 0.9274
0.3750 0.3024 0.4274
0.6976 0.1250 0.0726
0.8750 0.9476 0.5726
0.2500 0.7500 0.5000
0.5000 0.5000 0.0000
```

Calculated values
SG = No. 122

---

B) Here is crystalline CoB2Cl at its relaxed geometry from the Alexandria database. Energies are from GGA-PBE.

```
CoB2Cl
1.0
0.0000 2.7208 2.7208
2.7208 0.0000 2.7208
2.7208 2.7208 0.0000
Co B Cl
1 2 1
direct
0.0000 0.0000 0.0000
0.2500 0.2500 0.2500
0.7500 0.7500 0.7500
0.5000 0.5000 0.5000
```

Calculated values
SG = No. 225

---

Most stable structure, least stable structure: A), B).

---

A) Here is crystalline CoB3Cl at its relaxed geometry from the Alexandria database. Energies are from GGA-PBE.

```
CoB3Cl
1.0
3.9121 0.0000 0.0000
0.0000 3.9121 0.0000
0.0000 0.0000 3.9121
Co B Cl
1 3 1
direct
0.0000 0.0000 0.0000
0.0000 0.0000 0.5000
0.0000 0.5000 0.0000
0.5000 0.0000 0.0000
0.5000 0.5000 0.5000
```

Calculated values
SG = No. 221

---

B) Here is crystalline CoB3Cl at its relaxed geometry from the Alexandria database. Energies are from GGA-PBE.

```
CoB3Cl
1.0
3.7774 0.0000 0.0000
0.0000 3.7774 0.0000
0.0000 0.0000 3.7774
Co B Cl
1 3 1
direct
0.0000 0.0000 0.0000
0.0000 0.5000 0.5000
0.5000 0.0000 0.5000
0.5000 0.5000 0.0000
0.5000 0.5000 0.5000
```

Calculated values
SG = No. 221

---

Most stable structure, least stable structure: A), B).